(1)
First-principles (GGA-PBE) data for crystalline Pt3WN at its relaxed geometry, as listed in Alexandria via LeMat-Bulk.

a b c (Å): 4.1955 4.1955 4.1955
angles (deg): 90.00 90.00 90.00
Space group Pm-3m (No. 221)
Asymmetric unit:
Pt 0.0000 0.0000 0.5000 x3
W 0.5000 0.5000 0.5000 x1
N 0.0000 0.0000 0.0000 x1

Summary:
* ΔE_f (raw): 905 meV/atom
* excess energy over the best structure of this formula in the dataset: 0.0 meV/atom
* D(E_F): 1.094 states/eV per atom
* DFT total energy: -0.513 Ry per atom

=====

(2)
First-principles (GGA-PBE) data for crystalline PtW2N at its relaxed geometry, as listed in Alexandria via LeMat-Bulk.

a b c (Å): 4.8021 4.8021 11.6365
angles (deg): 90.00 90.00 90.00
Space group I-42d (No. 122)
Asymmetric unit:
Pt 0.0000 0.0000 0.0000 x4
W 0.1462 0.2500 0.6250 x8
N 0.0000 0.0000 0.5000 x4

Summary:
* ΔE_f (raw): 341 meV/atom
* D(E_F): 0.689 states/eV per atom
* DFT total energy: -0.715 Ry per atom